Mn2AlOs after structural relaxation. Source: Alexandria via LeMat-Bulk, functional PBE.

a = 4.5506 Å, b = 4.5506 Å, c = 4.5506 Å
α = 131.12°, β = 131.12°, γ = 71.63°
With the nearest neighbours (Å) after each atom.
Atoms (fractional coordinates):
Mn (0.0000, 0.0000, 0.0000)  4 Os 2.64, 4 Al 2.64, 4 Mn 2.66
Mn (0.5000, 0.5000, 0.0000)  4 Al 2.64, 4 Os 2.64, 4 Mn 2.66
Os (0.2500, 0.7500, 0.5000)  8 Mn 2.64, 4 Al 2.66
Al (0.7500, 0.2500, 0.5000)  8 Mn 2.64, 4 Os 2.66

* ΔH_f (0 K): -0.077 eV per atom
* volume: 13.08 A^3/atom
* electronic total energy: -33.6 eV/cell
* space group: I4/mmm